Entry 1:
This record from Alexandria via LeMat-Bulk describes an optimized crystal structure of K4Dy3USe8. The functional is PBE-GGA.

Structure (CIF):
```
data_K4Dy3USe8
_cell_length_a 9.107
_cell_length_b 9.107
_cell_length_c 9.107
_cell_angle_alpha 55.25
_cell_angle_beta 55.25
_cell_angle_gamma 55.25
_space_group_name_H-M_alt 'P 1'
_space_group_IT_number 1
loop_
_space_group_symop_operation_xyz
'x,y,z'
loop_
_atom_site_label
_atom_site_type_symbol
_atom_site_fract_x
_atom_site_fract_y
_atom_site_fract_z
K1 K 0.000 0.000 0.000
K2 K 0.000 0.500 0.500
K3 K 0.500 0.000 0.500
K4 K 0.500 0.500 0.000
Dy1 Dy 0.000 0.000 0.500
Dy2 Dy 0.000 0.500 0.000
Dy3 Dy 0.500 0.000 0.000
U1 U 0.500 0.500 0.500
Se1 Se 0.233 0.737 0.737
Se2 Se 0.235 0.235 0.235
Se3 Se 0.263 0.263 0.767
Se4 Se 0.263 0.767 0.263
Se5 Se 0.737 0.233 0.737
Se6 Se 0.737 0.737 0.233
Se7 Se 0.765 0.765 0.765
Se8 Se 0.767 0.263 0.263
```

Output
Its symmetry is No. 166. The total moment is 3.0 Bohr magnetons per cell. The value obtained for the uncorrected formation energy is -1.62 eV per atom.

---

Entry 2:
This record from Alexandria via LeMat-Bulk describes an optimized crystal structure of PmScAu3. The functional is PBE-GGA.

Structure (CIF):
```
data_PmScAu3
_cell_length_a 8.403
_cell_length_b 8.403
_cell_length_c 5.975
_cell_angle_alpha 106.86
_cell_angle_beta 106.86
_cell_angle_gamma 33.88
_space_group_name_H-M_alt 'P 1'
_space_group_IT_number 1
loop_
_space_group_symop_operation_xyz
'x,y,z'
loop_
_atom_site_label
_atom_site_type_symbol
_atom_site_fract_x
_atom_site_fract_y
_atom_site_fract_z
Pm1 Pm 0.084 0.084 0.378
Pm2 Pm 0.916 0.916 0.622
Sc1 Sc 0.297 0.297 0.879
Sc2 Sc 0.703 0.703 0.121
Au1 Au 0.128 0.128 0.923
Au2 Au 0.275 0.275 0.380
Au3 Au 0.452 0.452 0.264
Au4 Au 0.548 0.548 0.736
Au5 Au 0.725 0.725 0.620
Au6 Au 0.872 0.872 0.077
```

Output
Its symmetry is No. 12. The total moment is 0.0 Bohr magnetons per cell. For the energy relative to the elements, the calculation gives -0.7206 eV/atom.

---

Entry 3:
This record from Alexandria via LeMat-Bulk describes an optimized crystal structure of InPd2O. The functional is PBE-GGA.

Structure (CIF):
```
data_InPd2O
_cell_length_a 7.171
_cell_length_b 7.171
_cell_length_c 7.171
_cell_angle_alpha 139.30
_cell_angle_beta 139.30
_cell_angle_gamma 58.92
_space_group_name_H-M_alt 'P 1'
_space_group_IT_number 1
loop_
_space_group_symop_operation_xyz
'x,y,z'
loop_
_atom_site_label
_atom_site_type_symbol
_atom_site_fract_x
_atom_site_fract_y
_atom_site_fract_z
In1 In 0.000 0.000 0.000
In2 In 0.750 0.250 0.500
Pd1 Pd 0.278 0.625 0.153
Pd2 Pd 0.375 0.528 0.653
Pd3 Pd 0.472 0.125 0.847
Pd4 Pd 0.875 0.722 0.347
O1 O 0.250 0.750 0.500
O2 O 0.500 0.500 0.000
```

Output
Its symmetry is No. 122. The total moment is 0.0 Bohr magnetons per cell. The value obtained for the uncorrected formation energy is -0.17 eV per atom.

---

Entry 4:
This record from Alexandria via LeMat-Bulk describes an optimized crystal structure of TcOsO4. The functional is PBE-GGA.

Structure (CIF):
```
data_TcOsO4
_cell_length_a 5.599
_cell_length_b 5.599
_cell_length_c 5.599
_cell_angle_alpha 105.08
_cell_angle_beta 105.08
_cell_angle_gamma 118.66
_space_group_name_H-M_alt 'P 1'
_space_group_IT_number 1
loop_
_space_group_symop_operation_xyz
'x,y,z'
loop_
_atom_site_label
_atom_site_type_symbol
_atom_site_fract_x
_atom_site_fract_y
_atom_site_fract_z
Tc1 Tc 0.000 0.000 0.000
Tc2 Tc 0.750 0.250 0.500
Os1 Os 0.283 0.783 0.500
Os2 Os 0.533 0.533 0.000
O1 O 0.222 0.522 0.700
O2 O 0.272 0.072 0.800
O3 O 0.272 0.472 0.200
O4 O 0.294 0.012 0.283
O5 O 0.729 0.012 0.717
O6 O 0.762 0.544 0.783
O7 O 0.762 0.979 0.217
O8 O 0.822 0.522 0.300
```

Output
Its symmetry is No. 109. The total moment is 0.0 Bohr magnetons per cell. The value obtained for the uncorrected formation energy is -1.11 eV per atom.

---

Entry 5:
This record from Alexandria via LeMat-Bulk describes an optimized crystal structure of Hf2Nb2Mo. The functional is PBE-GGA.

Structure (CIF):
```
data_Hf2Nb2Mo
_cell_length_a 6.597
_cell_length_b 6.597
_cell_length_c 4.717
_cell_angle_alpha 90.00
_cell_angle_beta 90.00
_cell_angle_gamma 90.00
_space_group_name_H-M_alt 'P 1'
_space_group_IT_number 1
loop_
_space_group_symop_operation_xyz
'x,y,z'
loop_
_atom_site_label
_atom_site_type_symbol
_atom_site_fract_x
_atom_site_fract_y
_atom_site_fract_z
Hf1 Hf 0.166 0.334 0.000
Hf2 Hf 0.334 0.834 0.000
Hf3 Hf 0.666 0.166 0.000
Hf4 Hf 0.834 0.666 0.000
Nb1 Nb 0.147 0.647 0.500
Nb2 Nb 0.353 0.147 0.500
Nb3 Nb 0.647 0.853 0.500
Nb4 Nb 0.853 0.353 0.500
Mo1 Mo 0.000 0.000 0.500
Mo2 Mo 0.500 0.500 0.500
```

Output
Its symmetry is No. 127. The total moment is 0.0 Bohr magnetons per cell. For the energy relative to the elements, the calculation gives 0.2625 eV/atom.

---

Entry 6:
This record from Alexandria via LeMat-Bulk describes an optimized crystal structure of InCuRh2. The functional is PBE-GGA.

Structure (CIF):
```
data_InCuRh2
_cell_length_a 4.813
_cell_length_b 4.813
_cell_length_c 4.681
_cell_angle_alpha 101.78
_cell_angle_beta 101.78
_cell_angle_gamma 35.43
_space_group_name_H-M_alt 'P 1'
_space_group_IT_number 1
loop_
_space_group_symop_operation_xyz
'x,y,z'
loop_
_atom_site_label
_atom_site_type_symbol
_atom_site_fract_x
_atom_site_fract_y
_atom_site_fract_z
In1 In 0.000 0.000 0.000
Cu1 Cu 0.755 0.755 0.272
Rh1 Rh 0.247 0.247 0.750
Rh2 Rh 0.502 0.502 0.494
```

Output
Its symmetry is No. 8. The total moment is 0.0 Bohr magnetons per cell. For the energy relative to the elements, the calculation gives -0.0700 eV/atom.

---

Entry 7:
This record from Alexandria via LeMat-Bulk describes an optimized crystal structure of Hf3PbBr. The functional is PBE-GGA.

Structure (CIF):
```
data_Hf3PbBr
_cell_length_a 5.438
_cell_length_b 5.438
_cell_length_c 5.438
_cell_angle_alpha 90.00
_cell_angle_beta 90.00
_cell_angle_gamma 90.00
_space_group_name_H-M_alt 'P 1'
_space_group_IT_number 1
loop_
_space_group_symop_operation_xyz
'x,y,z'
loop_
_atom_site_label
_atom_site_type_symbol
_atom_site_fract_x
_atom_site_fract_y
_atom_site_fract_z
Hf1 Hf 0.000 0.000 0.500
Hf2 Hf 0.000 0.500 0.000
Hf3 Hf 0.500 0.000 0.000
Pb1 Pb 0.000 0.000 0.000
Br1 Br 0.500 0.500 0.500
```

Output
Its symmetry is No. 221. The total moment is 3.2 Bohr magnetons per cell. The value obtained for the uncorrected formation energy is 1.51 eV per atom.

---

Entry 8:
This record from Alexandria via LeMat-Bulk describes an optimized crystal structure of PaTi2Tl. The functional is PBE-GGA.

Structure (CIF):
```
data_PaTi2Tl
_cell_length_a 4.847
_cell_length_b 4.847
_cell_length_c 4.847
_cell_angle_alpha 60.00
_cell_angle_beta 60.00
_cell_angle_gamma 60.00
_space_group_name_H-M_alt 'P 1'
_space_group_IT_number 1
loop_
_space_group_symop_operation_xyz
'x,y,z'
loop_
_atom_site_label
_atom_site_type_symbol
_atom_site_fract_x
_atom_site_fract_y
_atom_site_fract_z
Pa1 Pa 0.000 0.000 0.000
Ti1 Ti 0.250 0.250 0.250
Ti2 Ti 0.750 0.750 0.750
Tl1 Tl 0.500 0.500 0.500
```

Output
Its symmetry is No. 225. The total moment is 0.0 Bohr magnetons per cell. For the energy relative to the elements, the calculation gives 0.1677 eV/atom.